This record from Alexandria via LeMat-Bulk describes a relaxed structure of ScNb2Ga2. The functional is PBE.

Cell lengths 7.130, 7.130, 3.517 Å; angles 90.00, 90.00, 90.00 degrees
Space group P4/mbm (No. 127)
Inequivalent atoms, fractional coordinates:
Sc  0.000  0.000  0.000 [2 per cell]
Nb  0.172  0.328  0.500 [4 per cell]
Ga  0.126  0.626  0.000 [4 per cell]

Output
D(E_F) ... 13.4 states/eV/cell
Electronic total energy ... -68.6 eV/cell

This record from Alexandria via LeMat-Bulk describes a relaxed structure of RbTiSn3. The functional is PBE.

Cell lengths 5.397, 5.397, 5.397 Å; angles 90.00, 90.00, 90.00 degrees
Space group Pm-3m (No. 221)
Inequivalent atoms, fractional coordinates:
Rb  0.000  0.000  0.000 [1 per cell]
Ti  0.500  0.500  0.500 [1 per cell]
Sn  0.000  0.500  0.500 [3 per cell]

Output
D(E_F) ... 1.9 states/eV/cell
Electronic total energy ... -21.5 eV/cell

This record from Alexandria via LeMat-Bulk describes a relaxed structure of Zr3Mn8Si. The functional is PBE.

Cell lengths 4.8429, 4.8429, 8.0539 Å; angles 90.00, 90.00, 120.00 degrees
Space group P3m1 (No. 156)
Inequivalent atoms, fractional coordinates:
Zr  0.0000  0.0000  0.0000 [1 per cell]
Zr  0.0000  0.0000  0.3787 [1 per cell]
Zr  0.6667  0.3333  0.5235 [1 per cell]
Mn  0.1621  0.3243  0.7005 [3 per cell]
Mn  0.3333  0.6667  0.4355 [1 per cell]
Mn  0.3333  0.6667  0.9418 [1 per cell]
Mn  0.5078  0.0155  0.1883 [3 per cell]
Si  0.6667  0.3333  0.8825 [1 per cell]

Output
D(E_F) ... 14.9 states/eV/cell
Formation energy (no corrections) ... -0.164 eV/atom
Electronic total energy ... -106.4 eV/cell

This record from Alexandria via LeMat-Bulk describes a relaxed structure of Sm3HoHg4. The functional is PBE.

Cell lengths 3.759, 3.759, 15.202 Å; angles 90.00, 90.00, 90.00 degrees
Space group P4/mmm (No. 123)
Inequivalent atoms, fractional coordinates:
Sm  0.000  0.000  0.000 [1 per cell]
Sm  0.000  0.000  0.253 [2 per cell]
Ho  0.000  0.000  0.500 [1 per cell]
Hg  0.500  0.500  0.126 [2 per cell]
Hg  0.500  0.500  0.383 [2 per cell]

Output
D(E_F) ... 9.2 states/eV/cell
Electronic total energy ... -23.7 eV/cell

This record from Alexandria via LeMat-Bulk describes a relaxed structure of AgC2. The functional is PBE.

Cell lengths 6.393, 6.393, 6.393 Å; angles 90.00, 90.00, 90.00 degrees
Space group Fd-3m (No. 227, origin choice 2)
Inequivalent atoms, fractional coordinates:
Ag  0.125  0.125  0.125 [8 per cell]
C  0.000  0.000  0.500 [16 per cell]

Output
D(E_F) ... 10.8 states/eV/cell
Electronic total energy ... -96.3 eV/cell

This record from Alexandria via LeMat-Bulk describes a relaxed structure of Ba2GaOsCl. The functional is PBE.

Cell lengths 6.011, 6.011, 4.807 Å; angles 90.00, 90.00, 90.00 degrees
Space group P4/mmm (No. 123)
Inequivalent atoms, fractional coordinates:
Ba  0.000  0.500  0.000 [2 per cell]
Ga  0.000  0.000  0.500 [1 per cell]
Os  0.000  0.000  0.000 [1 per cell]
Cl  0.500  0.500  0.500 [1 per cell]

Output
D(E_F) ... 0.8 states/eV/cell
Formation energy (no corrections) ... -0.487 eV/atom
Electronic total energy ... -22.4 eV/cell

This record from Alexandria via LeMat-Bulk describes a relaxed structure of NaGaGeSe4. The functional is PBE.

Cell lengths 8.234, 12.322, 7.683 Å; angles 90.00, 90.00, 90.00 degrees
Space group Cmcm (No. 63)
Inequivalent atoms, fractional coordinates:
Na  0.000  0.000  0.000 [4 per cell]
Ga  0.000  0.368  0.250 [4 per cell]
Ge  0.000  0.367  0.750 [4 per cell]
Se  0.000  0.248  0.504 [8 per cell]
Se  0.218  0.496  0.750 [8 per cell]

Output
D(E_F) ... 0.1 states/eV/cell
Formation energy (no corrections) ... -0.564 eV/atom
Electronic total energy ... -107.4 eV/cell

This record from Alexandria via LeMat-Bulk describes a relaxed structure of GaAgPdAu. The functional is PBE.

Cell lengths 3.128, 3.128, 6.801 Å; angles 90.00, 90.00, 90.00 degrees
Space group P4mm (No. 99)
Inequivalent atoms, fractional coordinates:
Ga  0.000  0.000  0.000 [1 per cell]
Ag  0.000  0.000  0.528 [1 per cell]
Pd  0.500  0.500  0.804 [1 per cell]
Au  0.500  0.500  0.247 [1 per cell]

Output
D(E_F) ... 1.4 states/eV/cell
Electronic total energy ... -15.4 eV/cell

This record from Alexandria via LeMat-Bulk describes a relaxed structure of Ba2TiSn. The functional is PBE.

Cell lengths 9.433, 9.433, 6.538 Å; angles 90.00, 90.00, 90.00 degrees
Space group I-42d (No. 122)
Inequivalent atoms, fractional coordinates:
Ba  0.241  0.750  0.125 [8 per cell]
Ti  0.000  0.000  0.000 [4 per cell]
Sn  0.000  0.000  0.500 [4 per cell]

Output
D(E_F) ... 16.5 states/eV/cell
Electronic total energy ... -56.3 eV/cell

This record from Alexandria via LeMat-Bulk describes a relaxed structure of KRhPb6. The functional is PBE.

Cell lengths 4.905, 4.905, 10.598 Å; angles 90.00, 90.00, 90.00 degrees
Space group P4/mmm (No. 123)
Inequivalent atoms, fractional coordinates:
K  0.000  0.000  0.000 [1 per cell]
Rh  0.000  0.000  0.500 [1 per cell]
Pb  0.000  0.500  0.347 [4 per cell]
Pb  0.500  0.500  0.150 [2 per cell]

Output
D(E_F) ... 5.1 states/eV/cell
Electronic total energy ... -31.0 eV/cell

This record from Alexandria via LeMat-Bulk describes a relaxed structure of Te2PtPb. The functional is PBE.

Cell lengths 11.344, 4.054, 6.405 Å; angles 90.00, 116.22, 90.00 degrees
Space group Cm (No. 8)
Inequivalent atoms, fractional coordinates:
Te  0.000  0.000  0.000 [2 per cell]
Te  0.236  0.000  0.575 [2 per cell]
Pt  0.121  0.500  0.282 [2 per cell]
Pb  0.419  0.500  0.421 [2 per cell]

Output
D(E_F) ... 2.6 states/eV/cell
Formation energy (no corrections) ... -0.249 eV/atom
Electronic total energy ... -34.1 eV/cell

This record from Alexandria via LeMat-Bulk describes a relaxed structure of TaBe2Sb. The functional is PBE.

Cell lengths 3.0632, 3.0632, 24.2385 Å; angles 90.00, 90.00, 120.00 degrees
Space group R-3m (No. 166, hexagonal axes)
Inequivalent atoms, fractional coordinates:
Ta  0.0000  0.0000  0.0000 [3 per cell]
Be  0.0000  0.0000  0.2513 [6 per cell]
Sb  0.0000  0.0000  0.5000 [3 per cell]

Output
D(E_F) ... 4.6 states/eV/cell
Formation energy (no corrections) ... 0.593 eV/atom
Electronic total energy ... -63.2 eV/cell

This record from Alexandria via LeMat-Bulk describes a relaxed structure of KZrSn3. The functional is PBE.

Cell lengths 5.620, 5.620, 5.620 Å; angles 90.00, 90.00, 90.00 degrees
Space group Pm-3m (No. 221)
Inequivalent atoms, fractional coordinates:
K  0.000  0.000  0.000 [1 per cell]
Zr  0.500  0.500  0.500 [1 per cell]
Sn  0.000  0.500  0.500 [3 per cell]

Output
D(E_F) ... 2.6 states/eV/cell
Electronic total energy ... -22.0 eV/cell

This record from Alexandria via LeMat-Bulk describes a relaxed structure of Pm3Nd2Sc3. The functional is PBE.

Cell lengths 6.2242, 6.2242, 22.9770 Å; angles 90.00, 90.00, 120.00 degrees
Space group R-3m (No. 166, hexagonal axes)
Inequivalent atoms, fractional coordinates:
Pm  0.0000  0.0000  0.0000 [3 per cell]
Pm  0.0000  0.0000  0.4223 [6 per cell]
Nd  0.0000  0.0000  0.2809 [6 per cell]
Sc  0.0000  0.5000  0.5000 [9 per cell]

Output
D(E_F) ... 58.5 states/eV/cell
Electronic total energy ... -122.3 eV/cell

This record from Alexandria via LeMat-Bulk describes a relaxed structure of LaY5Ho2Tm. The functional is PBE.

Cell lengths 5.629, 20.129, 10.591 Å; angles 90.00, 90.00, 90.00 degrees
Space group Cmc2_1 (No. 36)
Inequivalent atoms, fractional coordinates:
La  0.000  0.199  0.000 [4 per cell]
Y  0.000  0.016  0.010 [4 per cell]
Y  0.000  0.279  0.297 [4 per cell]
Y  0.000  0.301  0.691 [4 per cell]
Y  0.000  0.392  0.011 [4 per cell]
Y  0.000  0.479  0.724 [4 per cell]
Ho  0.000  0.109  0.722 [4 per cell]
Ho  0.000  0.112  0.305 [4 per cell]
Tm  0.000  0.412  0.439 [4 per cell]

Output
D(E_F) ... 64.5 states/eV/cell
Electronic total energy ... -197.8 eV/cell

This record from Alexandria via LeMat-Bulk describes a relaxed structure of CoIr2Cl. The functional is PBE.

Cell lengths 11.127, 2.747, 4.041 Å; angles 90.00, 99.60, 90.00 degrees
Space group C2/m (No. 12)
Inequivalent atoms, fractional coordinates:
Co  0.000  0.000  0.000 [2 per cell]
Ir  0.205  0.500  0.222 [4 per cell]
Cl  0.000  0.500  0.500 [2 per cell]

Output
D(E_F) ... 12.0 states/eV/cell
Formation energy (no corrections) ... 0.552 eV/atom
Electronic total energy ... -48.9 eV/cell

This record from Alexandria via LeMat-Bulk describes a relaxed structure of Hg2PtCl. The functional is PBE.

Cell lengths 15.726, 3.258, 3.983 Å; angles 90.00, 91.67, 90.00 degrees
Space group Cm (No. 8)
Inequivalent atoms, fractional coordinates:
Hg  0.000  0.000  0.000 [2 per cell]
Hg  0.203  0.000  0.669 [2 per cell]
Pt  0.068  0.500  0.504 [2 per cell]
Cl  0.316  0.500  0.989 [2 per cell]

Output
D(E_F) ... 1.5 states/eV/cell
Formation energy (no corrections) ... -0.058 eV/atom
Electronic total energy ... -17.4 eV/cell

This record from Alexandria via LeMat-Bulk describes a relaxed structure of Fe2ReSe. The functional is PBE.

Cell lengths 2.840, 3.471, 5.306 Å; angles 90.00, 90.00, 90.00 degrees
Space group Pmmm (No. 47)
Inequivalent atoms, fractional coordinates:
Fe  0.000  0.000  0.238 [2 per cell]
Re  0.500  0.500  0.000 [1 per cell]
Se  0.500  0.500  0.500 [1 per cell]

Output
D(E_F) ... 4.7 states/eV/cell
Formation energy (no corrections) ... 0.399 eV/atom
Electronic total energy ... -31.3 eV/cell

This record from Alexandria via LeMat-Bulk describes a relaxed structure of ZrAl4Pd5. The functional is PBE.

Cell lengths 3.096, 3.096, 15.996 Å; angles 90.00, 90.00, 90.00 degrees
Space group P4/mmm (No. 123)
Inequivalent atoms, fractional coordinates:
Zr  0.000  0.000  0.000 [1 per cell]
Al  0.000  0.000  0.216 [2 per cell]
Al  0.000  0.000  0.406 [2 per cell]
Pd  0.500  0.500  0.126 [2 per cell]
Pd  0.500  0.500  0.313 [2 per cell]
Pd  0.500  0.500  0.500 [1 per cell]

Output
D(E_F) ... 4.4 states/eV/cell
Electronic total energy ... -57.8 eV/cell

This record from Alexandria via LeMat-Bulk describes a relaxed structure of Dy5Mg4Zn. The functional is PBE.

Cell lengths 3.699, 3.699, 19.149 Å; angles 90.00, 90.00, 90.00 degrees
Space group P4/mmm (No. 123)
Inequivalent atoms, fractional coordinates:
Dy  0.000  0.000  0.000 [1 per cell]
Dy  0.000  0.000  0.205 [2 per cell]
Dy  0.000  0.000  0.411 [2 per cell]
Mg  0.500  0.500  0.102 [2 per cell]
Mg  0.500  0.500  0.307 [2 per cell]
Zn  0.500  0.500  0.500 [1 per cell]

Output
D(E_F) ... 13.9 states/eV/cell
Electronic total energy ... -31.9 eV/cell

Number 1: calculated density 6.878 g/cm³. Number 2: calculated density 5.169 g/cm³. Number 3: calculated density 7.525 g/cm³. Number 4: calculated density 10.962 g/cm³. Number 5: calculated density 6.705 g/cm³. Number 6: calculated density 5.450 g/cm³. Number 7: calculated density 4.100 g/cm³. Number 8: calculated density 12.000 g/cm³. Number 9: calculated density 5.038 g/cm³. Number 10: calculated density 9.022 g/cm³. Number 11: calculated density 8.263 g/cm³. Number 12: calculated density 8.112 g/cm³. Number 13: calculated density 4.551 g/cm³. Number 14: calculated density 5.547 g/cm³. Number 15: calculated density 5.990 g/cm³. Number 16: calculated density 13.059 g/cm³. Number 17: calculated density 10.285 g/cm³. Number 18: calculated density 11.962 g/cm³. Number 19: calculated density 7.920 g/cm³. Number 20: calculated density 6.181 g/cm³.